Record 1
A relaxed structure of InAu2Se. Source: Alexandria via LeMat-Bulk, functional PBE.

The calculation puts the calculated density at 10.92 g/cm³. For the offset from the most stable computed form, the calculation gives 0 meV per atom. As for the formation energy without anion corrections: -0.10 eV per atom.

The structure belongs to space group R3m (No. 160, hexagonal axes); the cell edges are 3.9909, 3.9909 and 19.4343 Å and the angles 90.00°, 90.00° and 120.00°. Symmetry generates all atoms from In at (0.0000, 0.0000, 0.0000), Au at (0.0000, 0.0000, 0.2495), Au at (0.0000, 0.0000, 0.5014) and Se at (0.0000, 0.0000, 0.7557).

=====

Record 2
A relaxed structure of PmNdSbSe. Source: Alexandria via LeMat-Bulk, functional PBE.

The calculation puts the calculated density at 6.87 g/cm³. As for the formation energy without anion corrections: -1.51 eV per atom.

The structure belongs to space group P4/mmm (No. 123); the cell edges are 4.371, 4.371 and 6.200 Å and the angles 90.00°, 90.00° and 90.00°. Symmetry generates all atoms from Pm at (0.000, 0.000, 0.000), Nd at (0.500, 0.500, 0.500), Sb at (0.500, 0.500, 0.000) and Se at (0.000, 0.000, 0.500).

=====

Record 3
A relaxed structure of DyEr2Ag. Source: Alexandria via LeMat-Bulk, functional PBE.

Its formation enthalpy at 0 K is 12 meV per atom. The calculation puts the calculated density at 9.34 g/cm³. For the offset from the most stable computed form, the calculation gives 148 meV per atom.

The structure belongs to space group P4/mmm (No. 123); the cell edges are 5.373, 5.373 and 3.724 Å and the angles 90.00°, 90.00° and 90.00°. Symmetry generates all atoms from Dy at (0.000, 0.000, 0.000), Er at (0.000, 0.500, 0.500) and Ag at (0.500, 0.500, 0.000).

=====

Record 4
A relaxed structure of Sc2IrRh4. Source: Alexandria via LeMat-Bulk, functional PBE.

Its formation enthalpy at 0 K is -507 meV per atom. The calculation puts the calculated density at 10.18 g/cm³.

The structure belongs to space group P2_1/c (No. 14); the cell edges are 5.293, 9.453 and 5.187 Å and the angles 90.00°, 119.29° and 90.00°. Symmetry generates all atoms from Sc at (0.180, 0.039, 0.340), Ir at (0.500, 0.000, 0.000), Rh at (0.090, 0.194, 0.796) and Rh at (0.397, 0.749, 0.197).

=====

Record 5
A relaxed structure of DyTm2As. Source: Alexandria via LeMat-Bulk, functional PBE.

Its formation enthalpy at 0 K is -570 meV per atom. The calculation puts the calculated density at 8.21 g/cm³.

The structure belongs to space group R-3m (No. 166, hexagonal axes); the cell edges are 3.7921, 3.7921 and 28.0452 Å and the angles 90.00°, 90.00° and 120.00°. Symmetry generates all atoms from Dy at (0.0000, 0.0000, 0.0000), Tm at (0.0000, 0.0000, 0.2282) and As at (0.0000, 0.0000, 0.5000).

=====

Record 6
A relaxed structure of Ac2TeMo. Source: Alexandria via LeMat-Bulk, functional PBE.

The calculation puts the calculated density at 7.67 g/cm³. As for the formation energy without anion corrections: 0.56 eV per atom.

The structure belongs to space group R-3m (No. 166, hexagonal axes); the cell edges are 3.9964, 3.9964 and 31.8353 Å and the angles 90.00°, 90.00° and 120.00°. Symmetry generates all atoms from Ac at (0.0000, 0.0000, 0.0925), Te at (0.0000, 0.0000, 0.5000) and Mo at (0.0000, 0.0000, 0.0000).

=====

Among the records above, which one has the lowest calculated density? PmNdSbSe

=====

Which of these has the lowest calculated density? PmNdSbSe